{
  "formula": "Zr2Si7Ni12",
  "functional": "PBE",
  "state": "relaxed",
  "spacegroup": "P-3 (147)",
  "e_tot_ev_per_atom": -6.581,
  "magmom_total_mub_per_fu": 0.00,
  "raw_formation_energy_kj_per_mol_atoms": -63.3,
  "lattice_angstrom": [[-3.014, -0.550, 1.828], [3.677, -7.581, 3.781], [1.020, 8.188, 4.148]],
  "species": ["Si", "Si", "Si", "Si", "Si", "Si", "Si", "Ni", "Ni", "Ni", "Ni", "Ni", "Ni", "Ni", "Ni", "Ni", "Ni", "Ni", "Ni", "Zr", "Zr"],
  "fractional_positions": [[0.500, 0.000, 0.000], [0.749, 0.591, 0.880], [0.749, 0.120, 0.711], [0.251, 0.409, 0.120], [0.251, 0.880, 0.289], [0.749, 0.289, 0.409], [0.251, 0.711, 0.591], [0.750, 0.852, 0.114], [0.250, 0.738, 0.852], [0.750, 0.886, 0.738], [0.249, 0.618, 0.056], [0.751, 0.562, 0.618], [0.250, 0.148, 0.886], [0.250, 0.114, 0.262], [0.751, 0.056, 0.438], [0.751, 0.382, 0.944], [0.249, 0.944, 0.562], [0.249, 0.438, 0.382], [0.750, 0.262, 0.148], [0.248, 0.333, 0.667], [0.752, 0.667, 0.333]]
}